A plane-wave DFT calculation with PBE+U was carried out for a relaxed structure of ZrCoN2F.

The density of states at the Fermi level comes out at 0.82 states/eV/cell. Its total magnetization is 1.83 μB/f.u. As for the energy above the lowest structure with this stoichiometry: 0 meV per atom.

It has space group P4/mmm (No. 123), with a = 3.793 Å, b = 3.793 Å, c = 3.655 Å, α = 90.00°, β = 90.00° and γ = 90.00°. The distinct sites, in fractional coordinates, are Zr at (0.000, 0.000, 0.000), Co at (0.500, 0.500, 0.500), N at (0.000, 0.500, 0.500) and F at (0.500, 0.500, 0.000).